VASP calculation (GGA-PBE) on a geometry-optimized Sb2RhBr structure.

## Properties
Calculated density = 6.4 Mg/m³
E_form (uncorrected) = -0.04 eV/atom
Energy relative to the lowest polymorph listed for this composition = 296 meV per atom

Unit cell a=3.335 b=4.026 c=8.216 alpha=90.00 beta=90.00 gamma=90.00
Space group Pmm2 (No. 25)
Asymmetric unit:
1 Sb 0.000 0.000 0.000
2 Sb 0.500 0.500 0.366
3 Rh 0.500 0.500 0.054
4 Br 0.000 0.000 0.678

VASP calculation (GGA-PBE) on a geometry-optimized GaHgCCl2 structure.

## Properties
Calculated density = 4.3 Mg/m³
E_form (uncorrected) = 0.77 eV/atom

Unit cell a=5.767 b=5.767 c=4.082 alpha=90.00 beta=90.00 gamma=90.00
Space group P4/mmm (No. 123)
Asymmetric unit:
1 Ga 0.000 0.000 0.000
2 Hg 0.500 0.500 0.500
3 C 0.500 0.500 0.000
4 Cl 0.000 0.500 0.500

VASP calculation (GGA-PBE) on a geometry-optimized Er3Ni8Hg structure.

## Properties
Calculated density = 11.0 Mg/m³
ΔH_f (0 K) = -0.42 eV/atom

Unit cell a=4.9992 b=4.9992 c=24.6093 alpha=90.00 beta=90.00 gamma=120.00
Space group R3m (No. 160, hexagonal axes)
Asymmetric unit:
1 Er 0.0000 0.0000 0.0000
2 Er 0.0000 0.0000 0.1287
3 Er 0.0000 0.0000 0.6170
4 Ni 0.0000 0.0000 0.3110
5 Ni 0.0000 0.0000 0.8106
6 Ni 0.9995 0.4998 0.0598
7 Ni 0.0039 0.5020 0.5618
8 Hg 0.0000 0.0000 0.4956

VASP calculation (GGA-PBE) on a geometry-optimized Tm6FePd structure.

## Properties
Calculated density = 8.9 Mg/m³
ΔH_f (0 K) = -0.15 eV/atom

Unit cell a=6.587 b=10.669 c=6.577 alpha=90.00 beta=107.35 gamma=90.00
Space group C2/m (No. 12)
Asymmetric unit:
1 Tm 0.224 0.173 0.236
2 Tm 0.245 0.500 0.230
3 Fe 0.000 0.000 0.000
4 Pd 0.000 0.500 0.500

VASP calculation (GGA-PBE) on a geometry-optimized Nd3Co5S12 structure.

## Properties
Calculated density = 4.7 Mg/m³
E_form (uncorrected) = -0.84 eV/atom

Unit cell a=14.598 b=14.598 c=14.598 alpha=90.00 beta=90.00 gamma=90.00
Space group Ia-3d (No. 230)
Asymmetric unit:
1 Nd 0.000 0.250 0.125
2 Co 0.000 0.000 0.000
3 Co 0.000 0.250 0.375
4 S 0.034 0.053 0.644

VASP calculation (GGA-PBE) on a geometry-optimized Ac6LaSm12 structure.

## Properties
Calculated density = 7.4 Mg/m³
ΔH_f (0 K) = 0.24 eV/atom

Unit cell a=13.9511 b=13.9511 c=13.2246 alpha=90.00 beta=90.00 gamma=120.00
Space group R-3m (No. 166, hexagonal axes)
Asymmetric unit:
1 Ac 0.0377 0.5188 0.1250
2 La 0.0000 0.0000 0.5000
3 Sm 0.0000 0.2518 0.0000
4 Sm 0.0939 0.1878 0.7627

- What is the calculated density in the first record?
  6.4 Mg/m³

- calculated density of number 1 (Sb2RhBr)?
  6.4 Mg/m³

- Which of these has the lowest calculated density?
  GaHgCCl2

What did the second record say?
VASP calculation (GGA-PBE) on a geometry-optimized GaHgCCl2 structure.

## Properties
Calculated density = 4.3 Mg/m³
E_form (uncorrected) = 0.77 eV/atom

Unit cell a=5.767 b=5.767 c=4.082 alpha=90.00 beta=90.00 gamma=90.00
Space group P4/mmm (No. 123)
Asymmetric unit:
1 Ga 0.000 0.000 0.000
2 Hg 0.500 0.500 0.500
3 C 0.500 0.500 0.000
4 Cl 0.000 0.500 0.500